# 1
Mn2RePb: relaxed, GGA-PBE. Values from VASP.

Cell and atoms, written as Quantum ESPRESSO input:
```
&SYSTEM
  ibrav = 0, nat = 8, ntyp = 3
/
ATOMIC_SPECIES
Mn 54.94 Mn.upf
Re 186.21 Re.upf
Pb 207.20 Pb.upf
ATOMIC_POSITIONS angstrom
Mn 5.386 5.691 2.077
Mn 2.100 5.386 0.692
Re 3.591 7.182 1.384
Pb 7.182 3.591 1.384
Re 3.591 3.591 0.000
Mn 5.081 1.795 0.692
Mn 8.977 8.672 2.077
Pb 0.000 0.000 0.000
CELL_PARAMETERS angstrom
7.182 0.000 0.000
0.000 7.182 0.000
3.591 3.591 2.769
```

Properties
formation energy = 920 meV per atom
space-group type = No. 122
V = 17.851 Å³/atom

=====

# 2
MnRe2Pb: relaxed, GGA-PBE. Values from VASP.

Cell and atoms, written as Quantum ESPRESSO input:
```
&SYSTEM
  ibrav = 0, nat = 4, ntyp = 3
/
ATOMIC_SPECIES
Pb 207.20 Pb.upf
Re 186.21 Re.upf
Mn 54.94 Mn.upf
ATOMIC_POSITIONS angstrom
Pb -1.017 2.214 1.527
Re 1.419 2.285 0.000
Re 0.000 0.000 0.000
Mn 2.436 0.071 1.527
CELL_PARAMETERS angstrom
4.871 0.142 0.000
-2.033 4.429 0.000
0.000 0.000 3.054
```

Properties
formation energy = 923 meV per atom
space-group type = No. 65
V = 16.691 Å³/atom

=====

# 3
MnRe2Pb: relaxed, GGA-PBE. Values from VASP.

Cell and atoms, written as Quantum ESPRESSO input:
```
&SYSTEM
  ibrav = 0, nat = 4, ntyp = 3
/
ATOMIC_SPECIES
Re 186.21 Re.upf
Mn 54.94 Mn.upf
Pb 207.20 Pb.upf
ATOMIC_POSITIONS angstrom
Re 0.000 0.000 0.000
Re -2.777 -0.323 -0.441
Mn -2.136 -2.671 -1.886
Pb -0.923 -0.235 -2.665
CELL_PARAMETERS angstrom
-0.281 -2.583 -4.111
-3.990 -2.759 0.339
0.572 4.783 0.666
```

Properties
formation energy = 758 meV per atom
space-group type = No. 119
V = 16.395 Å³/atom

=====

# 4
MnRe2Pb: relaxed, GGA-PBE. Values from VASP.

Cell and atoms, written as Quantum ESPRESSO input:
```
&SYSTEM
  ibrav = 0, nat = 4, ntyp = 3
/
ATOMIC_SPECIES
Re 186.21 Re.upf
Pb 207.20 Pb.upf
Mn 54.94 Mn.upf
ATOMIC_POSITIONS angstrom
Re -0.044 0.377 -0.001
Pb -2.226 4.422 1.716
Mn -1.866 1.345 1.724
Re -0.316 2.700 -0.006
CELL_PARAMETERS angstrom
-2.873 -0.337 -0.378
-0.498 -0.049 3.833
-0.720 6.154 -0.015
```

Properties
formation energy = 701 meV per atom
space-group type = No. 47
V = 17.468 Å³/atom

=====

# 5
MnRe2Pb: relaxed, GGA-PBE. Values from VASP.

Cell and atoms, written as Quantum ESPRESSO input:
```
&SYSTEM
  ibrav = 0, nat = 4, ntyp = 3
/
ATOMIC_SPECIES
Re 186.21 Re.upf
Mn 54.94 Mn.upf
Pb 207.20 Pb.upf
ATOMIC_POSITIONS angstrom
Re 0.000 0.000 0.000
Mn -0.371 -1.838 -2.148
Pb -2.526 -0.233 -1.302
Re -1.334 0.237 -3.850
CELL_PARAMETERS angstrom
-3.488 1.842 -3.004
0.821 -1.368 -4.695
-0.229 -2.546 4.249
```

Properties
formation energy = 788 meV per atom
space-group type = No. 139
V = 16.187 Å³/atom

=====

# 6
Mn2RePb: relaxed, GGA-PBE. Values from VASP.

Cell and atoms, written as Quantum ESPRESSO input:
```
&SYSTEM
  ibrav = 0, nat = 4, ntyp = 3
/
ATOMIC_SPECIES
Pb 207.20 Pb.upf
Mn 54.94 Mn.upf
Re 186.21 Re.upf
ATOMIC_POSITIONS angstrom
Pb 0.627 2.296 1.447
Mn 3.008 2.291 0.000
Re 2.380 -0.005 1.447
Mn 0.000 0.000 0.000
CELL_PARAMETERS angstrom
4.761 -0.011 0.000
1.255 4.592 0.000
-3.008 -2.291 2.893
```

Properties
formation energy = 652 meV per atom
space-group type = No. 139
V = 15.823 Å³/atom